Entry from the Alexandria database: a geometry-optimized Na2CdSn structure (GGA-PBE).

POSCAR file:
```
Na2CdSn
1.0
1.675 0.967 11.611
-1.675 0.967 11.611
0.000 -1.934 11.611
Na Cd Sn
2 1 1
Direct
0.090 0.090 0.090
0.910 0.910 0.910
0.500 0.500 0.500
0.000 0.000 0.000
```

## Properties
Spin magnetization (μB per cell): 0.000
Formation enthalpy at 0 K (eV per atom): 0.04
Space-group type: R-3m